Entry 1:
Density functional theory data (GGA-PBE) for an optimized crystal structure of YNi2Ir.

Properties
Offset from the most stable computed form   276 meV per atom
ρ   10673 kg/m³
Size of the total moment   0.00 μB per formula unit

Cell lengths 2.8857, 3.7364, 5.7507 Å; angles 90.00, 90.00, 90.00 degrees
Space group Pmmm (No. 47)
Symmetry-distinct sites (fractional):
Y: 0.0000 0.0000 0.0000
Ni: 0.5000 0.5000 0.2940
Ir: 0.0000 0.0000 0.5000

=====

Entry 2:
Density functional theory data (GGA-PBE) for an optimized crystal structure of Y4Ni3Ir.

Properties
Uncorrected energy   -56.33 eV per cell
ρ   7236 kg/m³
Size of the total moment   0.00 μB per formula unit

Cell lengths 3.8315, 4.1636, 10.4133 Å; angles 90.00, 90.00, 90.00 degrees
Space group Pmm2 (No. 25)
Symmetry-distinct sites (fractional):
Y: 0.0000 0.0000 0.0000
Y: 0.0000 0.5000 0.2801
Y: 0.5000 0.0000 0.4994
Y: 0.5000 0.5000 0.7840
Ni: 0.0000 0.5000 0.5621
Ni: 0.5000 0.0000 0.2099
Ni: 0.5000 0.5000 0.0755
Ir: 0.0000 0.0000 0.7159

=====

Entry 3:
Density functional theory data (GGA-PBE) for an optimized crystal structure of YNi2Ir.

Properties
Offset from the most stable computed form   369 meV per atom
ρ   8797 kg/m³
Size of the total moment   0.00 μB per formula unit

Cell lengths 4.1782, 4.1782, 17.2364 Å; angles 90.00, 90.00, 90.00 degrees
Space group I-42d (No. 122)
Symmetry-distinct sites (fractional):
Y: 0.0000 0.0000 0.0000
Ni: 0.0949 0.2500 0.6250
Ir: 0.0000 0.0000 0.5000

=====

Entry 4:
Density functional theory data (GGA-PBE) for an optimized crystal structure of YNi2Ir.

Properties
Offset from the most stable computed form   444 meV per atom
ρ   9284 kg/m³
Size of the total moment   0.00 μB per formula unit

Cell lengths 5.2616, 6.2663, 4.3237 Å; angles 90.00, 90.00, 90.00 degrees
Space group Cmmm (No. 65)
Symmetry-distinct sites (fractional):
Y: 0.0000 0.0000 0.0000
Ni: 0.0000 0.3106 0.5000
Ir: 0.0000 0.5000 0.0000

=====

Entry 5:
Density functional theory data (GGA-PBE) for an optimized crystal structure of Y3NiIr.

Properties
Offset from the most stable computed form   0 meV per atom
ρ   7367 kg/m³
Size of the total moment   0.00 μB per formula unit

Cell lengths 4.0626, 9.0339, 6.3583 Å; angles 90.00, 90.00, 90.00 degrees
Space group Pmmn (No. 59, origin choice 2)
Symmetry-distinct sites (fractional):
Y: 0.2500 0.0570 0.2312
Y: 0.2500 0.2500 0.7217
Ni: 0.2500 0.7500 0.5722
Ir: 0.2500 0.7500 0.9722

=====

Entry 6:
Density functional theory data (GGA-PBE) for an optimized crystal structure of Y2NiIr.

Properties
Offset from the most stable computed form   490 meV per atom
ρ   9480 kg/m³
Size of the total moment   0.00 μB per formula unit

Cell lengths 6.6971, 6.6971, 6.6971 Å; angles 90.00, 90.00, 90.00 degrees
Space group F-43m (No. 216)
Symmetry-distinct sites (fractional):
Y: 0.0000 0.0000 0.0000
Y: 0.2500 0.2500 0.2500
Ni: 0.2500 0.2500 0.7500
Ir: 0.0000 0.0000 0.5000

=====

Entry 7:
Density functional theory data (GGA-PBE) for an optimized crystal structure of Y2NiIr.

Properties
Offset from the most stable computed form   255 meV per atom
ρ   8377 kg/m³
Size of the total moment   0.00 μB per formula unit

Cell lengths 3.6046, 4.2035, 11.2179 Å; angles 90.00, 90.00, 90.00 degrees
Space group Imm2 (No. 44)
Symmetry-distinct sites (fractional):
Y: 0.0000 0.0000 0.0000
Y: 0.0000 0.5000 0.2263
Ni: 0.0000 0.0000 0.4505
Ir: 0.0000 0.5000 0.7949

=====

Entry 8:
Density functional theory data (GGA-PBE) for an optimized crystal structure of YNiIr2.

Properties
Offset from the most stable computed form   673 meV per atom
ρ   13573 kg/m³
Size of the total moment   0.90 μB per formula unit

Cell lengths 2.9157, 2.9157, 26.5227 Å; angles 90.00, 90.00, 120.00 degrees
Space group R-3m (No. 166, hexagonal axes)
Symmetry-distinct sites (fractional):
Y: 0.0000 0.0000 0.0000
Ni: 0.0000 0.0000 0.5000
Ir: 0.0000 0.0000 0.2402

=====

Entry 9:
Density functional theory data (GGA-PBE) for an optimized crystal structure of YNiIr2.

Properties
Offset from the most stable computed form   0 meV per atom
ρ   12483 kg/m³
Size of the total moment   0.00 μB per formula unit

Cell lengths 5.2533, 6.5775, 8.5968 Å; angles 82.98, 76.12, 80.12 degrees
Space group P-1 (No. 2)
Symmetry-distinct sites (fractional):
Y: 0.0000 0.0000 0.0000
Y: 0.0000 0.5000 0.0000
Y: 0.2430 0.3261 0.5959
Ni: 0.1976 0.8539 0.4488
Ni: 0.4958 0.3017 0.0391
Ir: 0.1291 0.2217 0.2959
Ir: 0.3339 0.5734 0.2441
Ir: 0.3482 0.7666 0.7077
Ir: 0.4760 0.9292 0.1710

=====

Entry 10:
Density functional theory data (GGA-PBE) for an optimized crystal structure of YNiIr2.

Properties
Offset from the most stable computed form   234 meV per atom
ρ   13406 kg/m³
Size of the total moment   0.00 μB per formula unit

Cell lengths 2.9484, 4.4068, 5.2206 Å; angles 90.00, 103.70, 90.00 degrees
Space group P2/m (No. 10)
Symmetry-distinct sites (fractional):
Y: 0.0000 0.0000 0.0000
Ni: 0.5000 0.0000 0.5000
Ir: 0.3532 0.5000 0.7180

=====

Entry 11:
Density functional theory data (GGA-PBE) for an optimized crystal structure of Y2NiIr.

Properties
Offset from the most stable computed form   479 meV per atom
ρ   8433 kg/m³
Size of the total moment   0.00 μB per formula unit

Cell lengths 7.3871, 7.3871, 6.1878 Å; angles 90.00, 90.00, 90.00 degrees
Space group I-42d (No. 122)
Symmetry-distinct sites (fractional):
Y: 0.2427 0.2500 0.1250
Ni: 0.0000 0.0000 0.0000
Ir: 0.0000 0.0000 0.5000

=====

Entry 12:
Density functional theory data (GGA-PBE) for an optimized crystal structure of YNi3Ir2.

Properties
Uncorrected energy   -255.09 eV per cell
ρ   12396 kg/m³
Size of the total moment   0.00 μB per formula unit

Cell lengths 5.5056, 5.5056, 19.8841 Å; angles 90.00, 90.00, 120.00 degrees
Space group R-3m (No. 166, hexagonal axes)
Symmetry-distinct sites (fractional):
Y: 0.0000 0.0000 0.2139
Ni: 0.0279 0.5140 0.2272
Ir: 0.0000 0.0000 0.0000
Ir: 0.0000 0.5000 0.0000

=====

Entry 13:
Density functional theory data (GGA-PBE) for an optimized crystal structure of YNiIr2.

Properties
Offset from the most stable computed form   257 meV per atom
ρ   13178 kg/m³
Size of the total moment   0.00 μB per formula unit

Cell lengths 9.2281, 3.0230, 4.9276 Å; angles 90.00, 102.75, 90.00 degrees
Space group Cm (No. 8)
Symmetry-distinct sites (fractional):
Y: 0.0000 0.0000 0.0000
Ni: 0.2392 0.0000 0.7317
Ir: 0.0023 0.5000 0.4975
Ir: 0.2619 0.5000 0.3342

=====

Entry 14:
Density functional theory data (GGA-PBE) for an optimized crystal structure of YNiIr2.

Properties
Offset from the most stable computed form   278 meV per atom
ρ   13332 kg/m³
Size of the total moment   1.02 μB per formula unit

Cell lengths 3.2378, 3.2378, 6.3209 Å; angles 90.00, 90.00, 90.00 degrees
Space group P4/mmm (No. 123)
Symmetry-distinct sites (fractional):
Y: 0.0000 0.0000 0.0000
Ni: 0.0000 0.0000 0.5000
Ir: 0.5000 0.5000 0.2934